{"formula": "TbDyY", "functional": "PBE", "state": "relaxed", "formation_energy_ev_per_fu": 0.64, "total_magnetization_mub_per_cell": 0.0, "vol_a3_per_atom": 33.46, "density_g_cm3": 6.79, "space_group": "No. 129", "lattice": [[4.826, 0.000, 0.000], [0.000, 4.826, 0.000], [0.000, 0.000, 8.621]], "species": ["Dy", "Dy", "Tb", "Tb", "Y", "Y"], "frac_coords": [[0.000, 0.000, 0.000], [0.500, 0.500, 0.000], [0.000, 0.500, 0.703], [0.500, 0.000, 0.297], [0.000, 0.500, 0.304], [0.500, 0.000, 0.696]]}